No. 1
This record from the Alexandria database describes a geometry-optimized TiAgSe2Br structure. The functional is PBE.

## Properties
Density of states at the Fermi level in states/eV/cell: 2.34
Energy relative to the lowest polymorph listed for this composition in eV/atom: 0.000
Space-group type: P4/mmm, No. 123
Formation energy from raw total energies in meV per atom: -342.4

Unit cell a=4.937 b=4.937 c=5.224 alpha=90.00 beta=90.00 gamma=90.00
Fractional positions:
Ti  0.000  0.000  0.000
Ag  0.500  0.500  0.500
Se  0.000  0.500  0.000
Se  0.500  0.000  0.000
Br  0.000  0.000  0.500



No. 2
This record from the Alexandria database describes a geometry-optimized Tl2AgSeBr structure. The functional is PBE.

## Properties
Space-group type: P4/mmm, No. 123
Formation energy from raw total energies in meV per atom: -279.2

Unit cell a=6.321 b=6.321 c=4.886 alpha=90.00 beta=90.00 gamma=90.00
Fractional positions:
Tl  0.000  0.500  0.000
Tl  0.500  0.000  0.000
Ag  0.000  0.000  0.500
Se  0.000  0.000  0.000
Br  0.500  0.500  0.500



No. 3
This record from the Alexandria database describes a geometry-optimized TlAg2SeBr structure. The functional is PBE.

## Properties
Energy relative to the lowest polymorph listed for this composition in eV/atom: 0.090
Space-group type: P4/mmm, No. 123
Formation energy from raw total energies in meV per atom: -216.2

Unit cell a=4.957 b=4.957 c=6.720 alpha=90.00 beta=90.00 gamma=90.00
Fractional positions:
Tl  0.000  0.000  0.000
Ag  0.000  0.500  0.500
Ag  0.500  0.000  0.500
Se  0.000  0.000  0.500
Br  0.500  0.500  0.000



| no. | energy (eV per cell) | M_tot (μB/cell) |
| --- | --- | --- |
| 1 | -21.1 | 0.0 |
| 2 | -14.1 | 0.0 |
| 3 | -14.3 | 0.0 |